No. 1
{"formula": "TlInS2", "functional": "PBE", "state": "optimized geometry", "lattice_angstrom": [[1.9355, 1.1175, 8.6657], [-1.9355, 1.1175, 8.6657], [0.0000, -2.2350, 8.6657]], "species": ["Tl", "In", "S", "S"], "frac_coords": [[0.0000, 0.0000, 0.0000], [0.5000, 0.5000, 0.5000], [0.1121, 0.1121, 0.1121], [0.8879, 0.8879, 0.8879]], "sg": "R-3m, No. 166", "final_energy_ev_per_atom": -3.66}

=====

No. 2
{"formula": "TlIn4S5", "functional": "PBE", "state": "optimized geometry", "lattice_angstrom": [[7.4549, 0.0000, 0.0000], [0.0000, 11.0373, 0.0000], [0.0000, 0.0000, 6.6412]], "species": ["Tl", "Tl", "In", "In", "In", "In", "In", "In", "In", "In", "S", "S", "S", "S", "S", "S", "S", "S", "S", "S"], "frac_coords": [[0.2500, 0.2500, 0.0455], [0.7500, 0.7500, 0.9545], [0.0495, 0.2500, 0.5226], [0.2500, 0.5566, 0.9380], [0.2500, 0.9434, 0.9380], [0.4505, 0.2500, 0.5226], [0.5495, 0.7500, 0.4774], [0.7500, 0.0566, 0.0620], [0.7500, 0.4434, 0.0620], [0.9505, 0.7500, 0.4774], [0.0086, 0.5714, 0.2207], [0.0086, 0.9286, 0.2207], [0.2500, 0.7500, 0.7132], [0.4914, 0.5714, 0.2207], [0.4914, 0.9286, 0.2207], [0.5086, 0.0714, 0.7793], [0.5086, 0.4286, 0.7793], [0.7500, 0.2500, 0.2868], [0.9914, 0.0714, 0.7793], [0.9914, 0.4286, 0.7793]], "sg": "Pmmn, No. 59", "final_energy_ev_per_atom": -3.77}

=====

No. 3
{"formula": "Tl2InS3", "functional": "PBE", "state": "optimized geometry", "lattice_angstrom": [[-2.0564, 5.9447, 3.7425], [2.0564, -5.9447, 3.7425], [2.0564, 5.9447, -3.7425]], "species": ["Tl", "Tl", "In", "S", "S", "S"], "frac_coords": [[0.1408, 0.0000, 0.1408], [0.8592, 0.0000, 0.8592], [0.4416, 0.9416, 0.5000], [0.0824, 0.7602, 0.3222], [0.4380, 0.7602, 0.6778], [0.6324, 0.6324, 0.0000]], "sg": "Imm2, No. 44", "final_energy_ev_per_atom": -3.62}

=====

No. 4
{"formula": "Tl2In2S5", "functional": "PBE", "state": "optimized geometry", "lattice_angstrom": [[7.8757, -2.0452, 0.0000], [7.8757, 2.0452, 0.0000], [-2.2183, 0.0000, 7.6589]], "species": ["Tl", "Tl", "In", "In", "S", "S", "S", "S", "S"], "frac_coords": [[0.1252, 0.1252, 0.3596], [0.8748, 0.8748, 0.6404], [0.3717, 0.3717, 0.2132], [0.6283, 0.6283, 0.7868], [0.2180, 0.2180, 0.7755], [0.4309, 0.4309, 0.9514], [0.5000, 0.5000, 0.5000], [0.5691, 0.5691, 0.0486], [0.7820, 0.7820, 0.2245]], "sg": "C2/m, No. 12", "final_energy_ev_per_atom": -3.80}

=====

No. 5
{"formula": "Tl2InS2", "functional": "PBE", "state": "optimized geometry", "lattice_angstrom": [[-2.6921, 2.6921, 4.8827], [2.6921, -2.6921, 4.8827], [2.6921, 2.6921, -4.8827]], "species": ["Tl", "Tl", "In", "S", "S"], "frac_coords": [[0.1541, 0.1541, 0.0000], [0.8459, 0.8459, 0.0000], [0.5000, 0.5000, 0.0000], [0.2500, 0.7500, 0.5000], [0.7500, 0.2500, 0.5000]], "sg": "I4/mmm, No. 139", "final_energy_ev_per_atom": -3.22}

=====

No. 6
{"formula": "TlIn2S2", "functional": "PBE", "state": "optimized geometry", "lattice_angstrom": [[-2.5943, 2.5943, 4.8098], [2.5943, -2.5943, 4.8098], [2.5943, 2.5943, -4.8098]], "species": ["Tl", "In", "In", "S", "S"], "frac_coords": [[0.0000, 0.0000, 0.0000], [0.3476, 0.3476, 0.0000], [0.6524, 0.6524, 0.0000], [0.2500, 0.7500, 0.5000], [0.7500, 0.2500, 0.5000]], "sg": "I4/mmm, No. 139", "final_energy_ev_per_atom": -3.54}